*A*
This record from the Alexandria database describes a relaxed LiScTa crystal. The functional is GGA-PBE.

a b c (Å): 7.498 7.498 7.498
angles (deg): 157.56 157.56 31.94
Fractional positions:
Li: 0.000 0.000 0.000
Sc: 0.312 0.312 0.000
Ta: 0.666 0.666 0.000

## Properties
- calculated volume (Å³/cell) = 61
- DOS at the Fermi energy (states/eV/f.u.) = 2.792

*B*
This record from the Alexandria database describes a relaxed LiScTa crystal. The functional is GGA-PBE.

a b c (Å): 4.390 4.390 4.390
angles (deg): 60.00 60.00 60.00
Fractional positions:
Li: 0.000 0.000 0.000
Sc: 0.250 0.250 0.250
Ta: 0.750 0.750 0.750

## Properties
- calculated volume (Å³/cell) = 60
- DOS at the Fermi energy (states/eV/f.u.) = 4.236

Name the most stable of them. *A*.

*A*
This record from the Alexandria database describes a relaxed LiScTa crystal. The functional is GGA-PBE.

a b c (Å): 3.226 4.705 7.907
angles (deg): 83.71 78.26 89.98
Fractional positions:
Li: 0.072 0.198 0.357
Li: 0.928 0.802 0.643
Sc: 0.397 0.303 0.706
Sc: 0.603 0.697 0.294
Ta: 0.264 0.754 0.972
Ta: 0.736 0.246 0.028

## Properties
- calculated volume (Å³/cell) = 117
- DOS at the Fermi energy (states/eV/f.u.) = 1.787

*B*
This record from the Alexandria database describes a relaxed LiScTa crystal. The functional is GGA-PBE.

a b c (Å): 3.000 3.000 7.795
angles (deg): 90.00 90.00 120.00
Fractional positions:
Li: 0.000 0.000 0.000
Sc: 0.333 0.667 0.363
Ta: 0.667 0.333 0.674

## Properties
- calculated volume (Å³/cell) = 61
- DOS at the Fermi energy (states/eV/f.u.) = 3.520

Name the most stable of them. *A*.

*A*
This record from the Alexandria database describes a relaxed LiScTa2 crystal. The functional is GGA-PBE.

a b c (Å): 10.719 10.719 10.719
angles (deg): 159.22 159.22 29.55
Fractional positions:
Li: 0.000 0.000 0.000
Li: 0.750 0.250 0.500
Sc: 0.250 0.750 0.500
Sc: 0.500 0.500 0.000
Ta: 0.126 0.125 0.501
Ta: 0.375 0.874 0.999
Ta: 0.624 0.625 0.499
Ta: 0.875 0.376 0.001

## Properties
- calculated volume (Å³/cell) = 155
- DOS at the Fermi energy (states/eV/f.u.) = 2.539

*B*
This record from the Alexandria database describes a relaxed LiScTa2 crystal. The functional is GGA-PBE.

a b c (Å): 10.558 10.558 10.558
angles (deg): 15.89 15.89 15.89
Fractional positions:
Li: 0.000 0.000 0.000
Sc: 0.500 0.500 0.500
Ta: 0.250 0.250 0.250
Ta: 0.750 0.750 0.750

## Properties
- calculated volume (Å³/cell) = 77
- DOS at the Fermi energy (states/eV/f.u.) = 5.769

Name the most stable of them. *B*.

*A*
This record from the Alexandria database describes a relaxed LiScTa2 crystal. The functional is GGA-PBE.

a b c (Å): 3.444 3.444 6.610
angles (deg): 90.00 90.00 90.00
Fractional positions:
Li: 0.000 0.000 0.000
Sc: 0.500 0.500 0.285
Ta: 0.000 0.000 0.556
Ta: 0.500 0.500 0.746

## Properties
- calculated volume (Å³/cell) = 78
- DOS at the Fermi energy (states/eV/f.u.) = 4.625

*B*
This record from the Alexandria database describes a relaxed LiScTa2 crystal. The functional is GGA-PBE.

a b c (Å): 2.890 2.890 9.894
angles (deg): 90.00 90.00 107.21
Fractional positions:
Li: 0.000 0.000 0.000
Sc: 0.500 0.500 0.278
Ta: 0.000 0.000 0.522
Ta: 0.500 0.500 0.746

## Properties
- calculated volume (Å³/cell) = 79
- DOS at the Fermi energy (states/eV/f.u.) = 5.449

*C*
This record from the Alexandria database describes a relaxed LiScTa2 crystal. The functional is GGA-PBE.

a b c (Å): 2.817 4.806 5.577
angles (deg): 90.00 90.00 90.00
Fractional positions:
Li: 0.000 0.000 0.000
Sc: 0.000 0.000 0.500
Ta: 0.500 0.500 0.257
Ta: 0.500 0.500 0.743

## Properties
- calculated volume (Å³/cell) = 75
- DOS at the Fermi energy (states/eV/f.u.) = 5.448

Name the most stable of them. *B*.